No. 1
Compound: Ti2MnGa
Source: Alexandria
Functional: PBE
Structure: optimized geometry

The structure in CIF format:
```
data_Ti2MnGa
_chemical_formula_sum 'Ti2 Mn1 Ga1'
_cell_length_a 3.067
_cell_length_b 3.067
_cell_length_c 6.139
_cell_angle_alpha 90.00
_cell_angle_beta 90.00
_cell_angle_gamma 90.00
_symmetry_space_group_name_H-M 'P 4/m m m'
_symmetry_Int_Tables_number 123
_symmetry_space_group_name_Hall '-P 4 2'
loop_
_atom_site_label
_atom_site_type_symbol
_atom_site_fract_x
_atom_site_fract_y
_atom_site_fract_z
Ti1 Ti 0.000 0.000 0.228
Mn1 Mn 0.500 0.500 0.000
Ga1 Ga 0.500 0.500 0.500
```

No. 2
Compound: Mn2Tl2Ga
Source: Alexandria
Functional: PBE
Structure: optimized geometry

The structure in CIF format:
```
data_Mn2Tl2Ga
_chemical_formula_sum 'Mn2 Tl2 Ga1'
_cell_length_a 5.459
_cell_length_b 5.459
_cell_length_c 6.378
_cell_angle_alpha 90.00
_cell_angle_beta 90.00
_cell_angle_gamma 90.00
_symmetry_space_group_name_H-M 'P 4/m m m'
_symmetry_Int_Tables_number 123
_symmetry_space_group_name_Hall '-P 4 2'
loop_
_atom_site_label
_atom_site_type_symbol
_atom_site_fract_x
_atom_site_fract_y
_atom_site_fract_z
Mn1 Mn 0.000 0.500 0.000
Tl1 Tl 0.000 0.000 0.000
Tl2 Tl 0.000 0.000 0.500
Ga1 Ga 0.500 0.500 0.500
```

No. 3
Compound: MnTl3Ga
Source: Alexandria
Functional: PBE
Structure: optimized geometry

The structure in CIF format:
```
data_MnTl3Ga
_chemical_formula_sum 'Mn1 Tl3 Ga1'
_cell_length_a 5.505
_cell_length_b 5.505
_cell_length_c 5.505
_cell_angle_alpha 90.00
_cell_angle_beta 90.00
_cell_angle_gamma 90.00
_symmetry_space_group_name_H-M 'P m -3 m'
_symmetry_Int_Tables_number 221
_symmetry_space_group_name_Hall '-P 4 2 3'
loop_
_atom_site_label
_atom_site_type_symbol
_atom_site_fract_x
_atom_site_fract_y
_atom_site_fract_z
Mn1 Mn 0.000 0.000 0.000
Tl1 Tl 0.000 0.500 0.500
Ga1 Ga 0.500 0.500 0.500
```

Energy above the most stable polymorph in this dataset: 0.85 eV/f.u.

No. 4
Compound: Mn3TlGa
Source: Alexandria
Functional: PBE
Structure: optimized geometry

The structure in CIF format:
```
data_Mn3TlGa
_chemical_formula_sum 'Mn3 Tl1 Ga1'
_cell_length_a 5.643
_cell_length_b 5.643
_cell_length_c 5.643
_cell_angle_alpha 90.00
_cell_angle_beta 90.00
_cell_angle_gamma 90.00
_symmetry_space_group_name_H-M 'P m -3 m'
_symmetry_Int_Tables_number 221
_symmetry_space_group_name_Hall '-P 4 2 3'
loop_
_atom_site_label
_atom_site_type_symbol
_atom_site_fract_x
_atom_site_fract_y
_atom_site_fract_z
Mn1 Mn 0.000 0.000 0.500
Tl1 Tl 0.500 0.500 0.500
Ga1 Ga 0.000 0.000 0.000
```

No. 5
Compound: MnTl3Ga
Source: Alexandria
Functional: PBE
Structure: optimized geometry

The structure in CIF format:
```
data_MnTl3Ga
_chemical_formula_sum 'Mn1 Tl3 Ga1'
_cell_length_a 5.155
_cell_length_b 5.155
_cell_length_c 5.155
_cell_angle_alpha 90.00
_cell_angle_beta 90.00
_cell_angle_gamma 90.00
_symmetry_space_group_name_H-M 'P m -3 m'
_symmetry_Int_Tables_number 221
_symmetry_space_group_name_Hall '-P 4 2 3'
loop_
_atom_site_label
_atom_site_type_symbol
_atom_site_fract_x
_atom_site_fract_y
_atom_site_fract_z
Mn1 Mn 0.000 0.000 0.000
Tl1 Tl 0.000 0.000 0.500
Ga1 Ga 0.500 0.500 0.500
```

Energy above the most stable polymorph in this dataset: 0.00 eV/f.u.

No. 6
Compound: Mn2TlGa2
Source: Alexandria
Functional: PBE
Structure: optimized geometry

The structure in CIF format:
```
data_Mn2TlGa2
_chemical_formula_sum 'Mn4 Tl2 Ga4'
_cell_length_a 6.879
_cell_length_b 6.879
_cell_length_c 3.246
_cell_angle_alpha 90.00
_cell_angle_beta 90.00
_cell_angle_gamma 90.00
_symmetry_space_group_name_H-M 'P 4/m b m'
_symmetry_Int_Tables_number 127
_symmetry_space_group_name_Hall '-P 4 2ab'
loop_
_atom_site_label
_atom_site_type_symbol
_atom_site_fract_x
_atom_site_fract_y
_atom_site_fract_z
Mn1 Mn 0.137 0.363 0.000
Tl1 Tl 0.000 0.000 0.000
Ga1 Ga 0.150 0.650 0.500
```

No. 7
Compound: MnTlGa3
Source: Alexandria
Functional: PBE
Structure: optimized geometry

The structure in CIF format:
```
data_MnTlGa3
_chemical_formula_sum 'Mn1 Tl1 Ga3'
_cell_length_a 4.744
_cell_length_b 4.744
_cell_length_c 4.744
_cell_angle_alpha 90.00
_cell_angle_beta 90.00
_cell_angle_gamma 90.00
_symmetry_space_group_name_H-M 'P m -3 m'
_symmetry_Int_Tables_number 221
_symmetry_space_group_name_Hall '-P 4 2 3'
loop_
_atom_site_label
_atom_site_type_symbol
_atom_site_fract_x
_atom_site_fract_y
_atom_site_fract_z
Mn1 Mn 0.000 0.000 0.000
Tl1 Tl 0.500 0.500 0.500
Ga1 Ga 0.000 0.000 0.500
```

Energy above the most stable polymorph in this dataset: 0.00 eV/f.u.

No. 8
Compound: Tm2MnGa6
Source: Alexandria
Functional: PBE
Structure: optimized geometry

The structure in CIF format:
```
data_Tm2MnGa6
_chemical_formula_sum 'Tm8 Mn4 Ga24'
_cell_length_a 8.686
_cell_length_b 8.686
_cell_length_c 8.686
_cell_angle_alpha 90.00
_cell_angle_beta 90.00
_cell_angle_gamma 90.00
_symmetry_space_group_name_H-M 'F m -3 m'
_symmetry_Int_Tables_number 225
_symmetry_space_group_name_Hall '-F 4 2 3'
loop_
_atom_site_label
_atom_site_type_symbol
_atom_site_fract_x
_atom_site_fract_y
_atom_site_fract_z
Tm1 Tm 0.250 0.250 0.250
Mn1 Mn 0.000 0.000 0.000
Ga1 Ga 0.000 0.000 0.280
```

No. 9
Compound: Tm4Mn3Ga16
Source: Alexandria
Functional: PBE
Structure: optimized geometry

The structure in CIF format:
```
data_Tm4Mn3Ga16
_chemical_formula_sum 'Tm4 Mn3 Ga16'
_cell_length_a 6.034
_cell_length_b 6.034
_cell_length_c 11.247
_cell_angle_alpha 90.00
_cell_angle_beta 90.00
_cell_angle_gamma 90.00
_symmetry_space_group_name_H-M 'P 4/m m m'
_symmetry_Int_Tables_number 123
_symmetry_space_group_name_Hall '-P 4 2'
loop_
_atom_site_label
_atom_site_type_symbol
_atom_site_fract_x
_atom_site_fract_y
_atom_site_fract_z
Tm1 Tm 0.000 0.500 0.189
Mn1 Mn 0.000 0.000 0.000
Mn2 Mn 0.000 0.500 0.500
Ga1 Ga 0.000 0.000 0.217
Ga2 Ga 0.250 0.250 0.378
Ga3 Ga 0.283 0.283 0.000
Ga4 Ga 0.500 0.500 0.194
```

No. 10
Compound: Tm3Mn2Ga7
Source: Alexandria
Functional: PBE
Structure: optimized geometry

The structure in CIF format:
```
data_Tm3Mn2Ga7
_chemical_formula_sum 'Tm6 Mn4 Ga14'
_cell_length_a 4.518
_cell_length_b 22.277
_cell_length_c 4.520
_cell_angle_alpha 90.00
_cell_angle_beta 90.00
_cell_angle_gamma 90.00
_symmetry_space_group_name_H-M 'C m m m'
_symmetry_Int_Tables_number 65
_symmetry_space_group_name_Hall '-C 2 2'
loop_
_atom_site_label
_atom_site_type_symbol
_atom_site_fract_x
_atom_site_fract_y
_atom_site_fract_z
Tm1 Tm 0.000 0.000 0.000
Tm2 Tm 0.000 0.186 0.000
Mn1 Mn 0.000 0.396 0.500
Ga1 Ga 0.000 0.096 0.500
Ga2 Ga 0.000 0.285 0.500
Ga3 Ga 0.000 0.405 0.000
Ga4 Ga 0.000 0.500 0.500
```

No. 11
Compound: TmMnGa2
Source: Alexandria
Functional: PBE
Structure: optimized geometry

The structure in CIF format:
```
data_TmMnGa2
_chemical_formula_sum 'Tm3 Mn3 Ga6'
_cell_length_a 4.2102
_cell_length_b 4.2102
_cell_length_c 14.8115
_cell_angle_alpha 90.00
_cell_angle_beta 90.00
_cell_angle_gamma 120.00
_symmetry_space_group_name_H-M 'R -3 m'
_symmetry_Int_Tables_number 166
_symmetry_space_group_name_Hall '-R 3 2"'
loop_
_atom_site_label
_atom_site_type_symbol
_atom_site_fract_x
_atom_site_fract_y
_atom_site_fract_z
Tm1 Tm 0.0000 0.0000 0.0000
Mn1 Mn 0.0000 0.0000 0.5000
Ga1 Ga 0.0000 0.0000 0.2202
```

No. 12
Compound: Tm3MnGa12
Source: Alexandria
Functional: PBE
Structure: optimized geometry

The structure in CIF format:
```
data_Tm3MnGa12
_chemical_formula_sum 'Tm3 Mn1 Ga12'
_cell_length_a 4.193
_cell_length_b 4.193
_cell_length_c 16.588
_cell_angle_alpha 90.00
_cell_angle_beta 90.00
_cell_angle_gamma 90.00
_symmetry_space_group_name_H-M 'P 4/m m m'
_symmetry_Int_Tables_number 123
_symmetry_space_group_name_Hall '-P 4 2'
loop_
_atom_site_label
_atom_site_type_symbol
_atom_site_fract_x
_atom_site_fract_y
_atom_site_fract_z
Tm1 Tm 0.000 0.000 0.000
Tm2 Tm 0.000 0.000 0.260
Mn1 Mn 0.000 0.000 0.500
Ga1 Ga 0.000 0.500 0.129
Ga2 Ga 0.000 0.500 0.389
Ga3 Ga 0.500 0.500 0.000
Ga4 Ga 0.500 0.500 0.253
Ga5 Ga 0.500 0.500 0.500
```

| no. | calculated formation energy (meV per atom) | electronic total energy (eV/atom) | theoretical density (g/cm³) |
| --- | --- | --- | --- |
| 1 | -408 | -7.405 | 6.34 |
| 2 | 1131 | -4.089 | 5.14 |
| 3 | 677 | -3.182 | 7.34 |
| 4 | 1280 | -5.300 | 4.06 |
| 5 | 508 | -3.351 | 8.94 |
| 6 | 363 | -4.989 | 9.81 |
| 7 | 89 | -4.034 | 7.29 |
| 8 | -477 | -4.508 | 8.22 |
| 9 | -396 | -4.475 | 7.93 |
| 10 | -312 | -4.724 | 8.07 |
| 11 | -306 | -5.230 | 7.96 |
| 12 | -380 | -4.062 | 7.96 |